1.
# K4Sm3AlO8 PBE relaxed
# E_form (uncorrected)   -2.465 eV per atom
data_K4Sm3AlO8
_cell_length_a 11.9606
_cell_length_b 6.8988
_cell_length_c 7.4176
_cell_angle_alpha 90.00
_cell_angle_beta 122.53
_cell_angle_gamma 90.00
_space_group_name_H-M_alt 'C 1 2/m 1'
_space_group_IT_number 12
_space_group_name_Hall '-C 2y'
loop_
_atom_site_label
_atom_site_type_symbol
_atom_site_fract_x
_atom_site_fract_y
_atom_site_fract_z
K1 K 0.0000 0.0000 0.0000
K2 K 0.0000 0.5000 0.0000
K3 K 0.2500 0.2500 0.0000
Sm1 Sm 0.0000 0.0000 0.5000
Sm2 Sm 0.2500 0.2500 0.5000
Al1 Al 0.0000 0.5000 0.5000
O1 O 0.0153 0.2754 0.3213
O2 O 0.2113 0.5000 0.6804
O3 O 0.2309 0.0000 0.6930



2.
# NbZnInIr PBE relaxed
# Energy of formation from the pure elements   -9.48 kJ per mole of atoms
data_NbZnInIr
_cell_length_a 6.4781
_cell_length_b 6.4781
_cell_length_c 6.4781
_cell_angle_alpha 90.00
_cell_angle_beta 90.00
_cell_angle_gamma 90.00
_space_group_name_H-M_alt 'F -4 3 m'
_space_group_IT_number 216
_space_group_name_Hall 'F -4 2 3'
loop_
_atom_site_label
_atom_site_type_symbol
_atom_site_fract_x
_atom_site_fract_y
_atom_site_fract_z
Nb1 Nb 0.0000 0.0000 0.0000
Zn1 Zn 0.2500 0.2500 0.2500
In1 In 0.0000 0.0000 0.5000
Ir1 Ir 0.2500 0.2500 0.7500



3.
# Rb4Na5Tl2 PBE relaxed
# Energy of formation from the pure elements   0.60 kJ per mole of atoms
data_Rb4Na5Tl2
_cell_length_a 8.2585
_cell_length_b 6.7482
_cell_length_c 9.9999
_cell_angle_alpha 90.00
_cell_angle_beta 91.12
_cell_angle_gamma 90.00
_space_group_name_H-M_alt 'P 1 2/m 1'
_space_group_IT_number 10
_space_group_name_Hall '-P 2y'
loop_
_atom_site_label
_atom_site_type_symbol
_atom_site_fract_x
_atom_site_fract_y
_atom_site_fract_z
Rb1 Rb 0.2284 0.0000 0.1169
Rb2 Rb 0.2487 0.0000 0.6494
Na1 Na 0.0804 0.5000 0.3285
Na2 Na 0.4755 0.5000 0.1638
Na3 Na 0.5000 0.5000 0.5000
Tl1 Tl 0.1624 0.5000 0.9360



no.,electronic total energy (eV per cell),total magnetic moment (μB/f.u.)
1,-202.8,0.0
2,-93.3,0.0
3,-15.1,0.0